Here is a geometry-optimized LaSi7Ni12 structure from Alexandria via LeMat-Bulk. Energies are from PBE.

a = 6.4147 Å, b = 7.0888 Å, c = 7.0888 Å
α = 111.32°, β = 107.56°, γ = 107.56°
Element x y z (fractional)
Si 0.1696 0.6444 0.0000
Si 0.4748 0.6444 0.6444
Si 0.8304 0.0000 0.3556
Si 0.5000 0.0000 0.0000
Si 0.1696 0.0000 0.6444
Si 0.8304 0.3556 0.0000
Si 0.5252 0.3556 0.3556
Ni 0.2562 0.2562 0.5124
Ni 0.5406 0.0000 0.6779
Ni 0.7438 0.4876 0.7438
Ni 0.4593 0.3221 0.0000
Ni 0.7438 0.7438 0.4876
Ni 0.4594 0.0000 0.3221
Ni 0.0000 0.7438 0.2562
Ni 0.2562 0.5124 0.2562
Ni 0.8628 0.3221 0.3221
Ni 0.5407 0.6779 0.0000
Ni 0.1372 0.6779 0.6779
Ni 0.0000 0.2562 0.7438
La 0.0000 0.0000 0.0000

Summary:
Energy relative to the elements, uncorrected = -0.4049 eV per atom
Space-group type = No. 166
Total magnetic moment = 0.00 μB/cell